(1)
Computed, not measured: Cs2LaOsBr6 after structural relaxation at the PBE level of DFT.

Structure (POSCAR):
```
Cs2LaOsBr6
1.0
-3.848 3.848 5.968
3.848 -3.848 5.968
3.848 3.848 -5.968
Cs La Os Br
2 1 1 6
direct
0.250 0.750 0.500 Cs
0.750 0.250 0.500 Cs
0.000 0.000 0.000 La
0.500 0.500 0.000 Os
0.248 0.248 0.000 Br
0.268 0.268 0.536 Br
0.268 0.732 0.000 Br
0.732 0.268 0.000 Br
0.732 0.732 0.464 Br
0.752 0.752 0.000 Br
```

Raw formation energy ... -1.097 eV/atom
Size of the total moment ... 0.91 μB/f.u.

***

(2)
Computed, not measured: Cs2LaPBr6 after structural relaxation at the PBE level of DFT.

Structure (POSCAR):
```
Cs2LaPBr6
1.0
-3.912 3.912 6.858
3.912 -3.912 6.858
3.912 3.912 -6.858
Cs La P Br
2 1 1 6
direct
0.250 0.750 0.500 Cs
0.750 0.250 0.500 Cs
0.000 0.000 0.000 La
0.500 0.500 0.000 P
0.213 0.213 0.000 Br
0.264 0.264 0.528 Br
0.264 0.736 0.000 Br
0.736 0.264 0.000 Br
0.736 0.736 0.472 Br
0.787 0.787 0.000 Br
```

Raw formation energy ... -1.314 eV/atom
Size of the total moment ... 0.00 μB/f.u.

***

Q: What is the formula in the second record?
A: Cs2LaPBr6

***

Q: Among the records above, which one has the highest size of the total moment?
A: Cs2LaOsBr6